[1]
# AlInO2 (GGA-PBE, relaxed)
data_AlInO2
_chemical_formula_sum 'Al4 In4 O8'
_cell_length_a 5.5206
_cell_length_b 5.5206
_cell_length_c 8.0565
_cell_angle_alpha 90.00
_cell_angle_beta 90.00
_cell_angle_gamma 90.00
_symmetry_space_group_name_H-M 'I -4 2 d'
_symmetry_Int_Tables_number 122
_symmetry_space_group_name_Hall 'I -4 2bw'
loop_
_atom_site_label
_atom_site_type_symbol
_atom_site_fract_x
_atom_site_fract_y
_atom_site_fract_z
_atom_site_occupancy
Al1 Al 0.0000 0.0000 0.0000 1
In1 In 0.0000 0.0000 0.5000 1
O1 O 0.0873 0.2500 0.1250 1
# crystal system	tetragonal
# energy relative to the elements, uncorrected	-2040	meV/atom
# V	245.5	Å³ per cell
# ρ	4.7	g cm⁻³
# total energy	-6.139	eV/atom

---

[2]
# AlIn2O2 (GGA-PBE, relaxed)
data_AlIn2O2
_chemical_formula_sum 'Al2 In4 O4'
_cell_length_a 5.3163
_cell_length_b 5.3163
_cell_length_c 6.6524
_cell_angle_alpha 90.00
_cell_angle_beta 90.00
_cell_angle_gamma 90.00
_symmetry_space_group_name_H-M 'I 4/m m m'
_symmetry_Int_Tables_number 139
_symmetry_space_group_name_Hall '-I 4 2'
loop_
_atom_site_label
_atom_site_type_symbol
_atom_site_fract_x
_atom_site_fract_y
_atom_site_fract_z
_atom_site_occupancy
Al1 Al 0.0000 0.0000 0.0000 1
In1 In 0.0000 0.5000 0.2500 1
O1 O 0.0000 0.0000 0.2563 1
# E above lowest polymorph	142	meV/atom
# crystal system	tetragonal
# energy relative to the elements, uncorrected	-859	meV/atom
# V	188.0	Å³ per cell
# ρ	5.1	g cm⁻³
# total energy	-4.686	eV/atom

---

[3]
# AlInO3 (GGA-PBE, relaxed)
data_AlInO3
_chemical_formula_sum 'Al2 In2 O6'
_cell_length_a 5.3406
_cell_length_b 5.3406
_cell_length_c 5.3406
_cell_angle_alpha 90.00
_cell_angle_beta 90.00
_cell_angle_gamma 120.00
_symmetry_space_group_name_H-M 'P -6 c 2'
_symmetry_Int_Tables_number 188
_symmetry_space_group_name_Hall 'P -6c 2'
loop_
_atom_site_label
_atom_site_type_symbol
_atom_site_fract_x
_atom_site_fract_y
_atom_site_fract_z
_atom_site_occupancy
Al1 Al 0.0000 0.0000 0.0000 1
In1 In 0.3333 0.6667 0.0000 1
O1 O 0.0679 0.3001 0.2500 1
# crystal system	hexagonal
# energy relative to the elements, uncorrected	-1890	meV/atom
# V	131.9	Å³ per cell
# ρ	4.8	g cm⁻³
# total energy	-6.161	eV/atom

---

[4]
# AlInOsO6 (GGA-PBE, relaxed)
data_AlInOsO6
_chemical_formula_sum 'Al2 In2 Os2 O12'
_cell_length_a 5.0463
_cell_length_b 5.0463
_cell_length_c 9.2529
_cell_angle_alpha 90.00
_cell_angle_beta 90.00
_cell_angle_gamma 120.00
_symmetry_space_group_name_H-M 'P -3 1 c'
_symmetry_Int_Tables_number 163
_symmetry_space_group_name_Hall '-P 3 2c'
loop_
_atom_site_label
_atom_site_type_symbol
_atom_site_fract_x
_atom_site_fract_y
_atom_site_fract_z
_atom_site_occupancy
Al1 Al 0.3333 0.6667 0.2500 1
In1 In 0.0000 0.0000 0.0000 1
Os1 Os 0.3333 0.6667 0.7500 1
O1 O 0.0043 0.3615 0.1377 1
# crystal system	trigonal
# energy relative to the elements, uncorrected	-1642	meV/atom
# V	204.1	Å³ per cell
# ρ	7.0	g cm⁻³
# total energy	-6.915	eV/atom